# 1
Entry from Alexandria via LeMat-Bulk: a geometry-optimized KNa5Bi2 structure (PBE-GGA).

calculated formation energy	-0.3287	eV per atom
crystal system	orthorhombic
energy	-2.26	eV per atom

a b c (Å): 5.340 8.140 8.140
angles (deg): 74.18 70.85 70.85
Atoms (fractional coordinates):
Na1 0.000 0.500 0.500
Na2 0.694 0.132 0.480
Na3 0.694 0.480 0.132
Bi1 0.737 0.763 0.763
Na4 0.306 0.520 0.868
Na5 0.306 0.868 0.520
Bi2 0.263 0.237 0.237
K1 0.000 0.000 0.000

---

# 2
Entry from Alexandria via LeMat-Bulk: a geometry-optimized AcSn3Ru2 structure (PBE-GGA).

calculated formation energy	-0.2756	eV per atom
crystal system	monoclinic
energy	-6.05	eV per atom

a b c (Å): 4.560 8.437 8.296
angles (deg): 110.95 90.00 105.68
Atoms (fractional coordinates):
Sn1 0.676 0.353 0.428
Ru1 0.837 0.675 0.382
Ru2 0.514 0.028 0.151
Sn2 0.367 0.734 0.230
Ru3 0.486 0.972 0.849
Sn3 0.989 0.978 0.668
Ac1 0.852 0.704 0.904
Sn4 0.633 0.266 0.770
Sn5 0.324 0.647 0.572
Ac2 0.148 0.296 0.096
Ru4 0.163 0.325 0.618
Sn6 0.011 0.022 0.332

---

# 3
Entry from Alexandria via LeMat-Bulk: a geometry-optimized NpInAgI5 structure (PBE-GGA).

crystal system	monoclinic
formation energy from raw total energies	-577.9	meV per atom
energy	-3.86	eV per atom

a b c (Å): 8.482 8.482 11.395
angles (deg): 103.57 103.57 107.11
Each line ends with the local moment (μB).
Atoms (fractional coordinates):
I1 0.337 0.943 0.622  -0.02
I2 0.904 0.096 0.750  -0.04
I3 0.943 0.337 0.122  -0.02
I4 0.251 0.380 0.550  -0.02
Np1 0.000 0.000 0.000  4.01
Ag1 0.693 0.307 0.250  -0.01
I5 0.057 0.663 0.878  -0.02
I6 0.380 0.251 0.050  -0.02
In1 0.377 0.623 0.250  0.00
I7 0.749 0.620 0.450  -0.02
I8 0.663 0.057 0.378  -0.02
I9 0.096 0.904 0.250  -0.04
I10 0.620 0.749 0.950  -0.02
In2 0.623 0.377 0.750  0.00
Np2 0.000 0.000 0.500  4.01
Ag2 0.307 0.693 0.750  -0.01

---

# 4
Entry from Alexandria via LeMat-Bulk: a geometry-optimized Pm3HoSc2Te6 structure (PBE-GGA).

crystal system	monoclinic
formation energy from raw total energies	-1274.6	meV per atom
energy	-5.47	eV per atom

a b c (Å): 4.308 8.778 9.758
angles (deg): 104.12 102.75 90.00
Atoms (fractional coordinates):
Te1 0.334 0.903 0.667
Pm1 0.500 0.500 0.000
Te2 0.666 0.097 0.333
Sc1 0.167 0.332 0.334
Pm2 0.837 0.172 0.675
Sc2 0.833 0.668 0.666
Te3 0.672 0.569 0.344
Pm3 0.163 0.828 0.325
Te4 0.328 0.431 0.656
Ho1 0.500 0.000 0.000
Te5 0.992 0.754 0.985
Te6 0.008 0.246 0.015

---

# 5
Entry from Alexandria via LeMat-Bulk: a geometry-optimized Zr2S3 structure (PBE-GGA).

crystal system	trigonal
formation energy from raw total energies	-1493.2	meV per atom
energy	-7.39	eV per atom

a b c (Å): 3.708 3.708 9.628
angles (deg): 78.90 78.90 60.00
Atoms (fractional coordinates):
S1 0.771 0.771 0.686
Zr1 0.387 0.387 0.838
S2 0.000 0.000 0.000
Zr2 0.613 0.613 0.162
S3 0.229 0.229 0.314

---

# 6
Entry from Alexandria via LeMat-Bulk: a geometry-optimized Nd2Si4Ni3Pd structure (PBE-GGA).

crystal system	tetragonal
formation energy from raw total energies	-828.5	meV per atom
energy	-6.20	eV per atom

a b c (Å): 4.088 4.088 9.714
angles (deg): 90.00 90.00 90.00
Atoms (fractional coordinates):
Si1 0.000 0.000 0.000
Pd1 0.500 0.500 0.500
Si2 0.500 0.500 0.000
Si3 0.500 0.000 0.637
Nd1 0.000 0.500 0.757
Ni1 0.000 0.000 0.500
Ni2 0.500 0.000 0.881
Nd2 0.500 0.000 0.243
Ni3 0.000 0.500 0.119
Si4 0.000 0.500 0.363

---

| no. | total moment (μB/cell) |
| --- | --- |
| 1 | 0.00 |
| 2 | 0.00 |
| 3 | 8.00 |
| 4 | 0.00 |
| 5 | 0.00 |
| 6 | 0.00 |